An optimized crystal structure of LiGa3Ge3. Source: Alexandria, functional PBE.

Cell lengths 7.1118, 7.1118, 7.1118 Å; angles 90.00, 90.00, 90.00 degrees
Fractional coordinates of all 14 atoms:
1 Li 0.0000 0.0000 0.0000
2 Li 0.5000 0.5000 0.5000
3 Ga 0.0000 0.2500 0.5000
4 Ga 0.0000 0.7500 0.5000
5 Ga 0.2500 0.5000 0.0000
6 Ga 0.5000 0.0000 0.2500
7 Ga 0.5000 0.0000 0.7500
8 Ga 0.7500 0.5000 0.0000
9 Ge 0.0000 0.5000 0.2500
10 Ge 0.0000 0.5000 0.7500
11 Ge 0.2500 0.0000 0.5000
12 Ge 0.5000 0.2500 0.0000
13 Ge 0.5000 0.7500 0.0000
14 Ge 0.7500 0.0000 0.5000

For the calculated formation energy, the calculation gives 0.15 eV/atom. The value obtained for the total energy is -3.40 eV/atom. The calculated volume is 25.69 Å³ per atom. The space group is Pm-3n (223).